## ScSiRh2 (PBE)

Data for ScSiRh2 after structural relaxation.

The structure belongs to space group Fmmm (No. 69); the cell edges are 6.912, 8.203 and 8.355 Å and the angles 90.00°, 90.00° and 90.00°. Symmetry generates all atoms from Sc at (0.000, 0.230, 0.000), Si at (0.000, 0.000, 0.260), Rh at (0.222, 0.000, 0.500) and Rh at (0.250, 0.250, 0.250).

For the formation energy from raw total energies, the calculation gives -0.922 eV per atom. The magnetization is 0.00 μB/cell. Its density of states at the Fermi level is 12.850 states/eV/cell.

## La5Co3 (PBE)

Data for La5Co3 after structural relaxation.

The structure belongs to space group P6_3/mcm (No. 193); the cell edges are 8.0962, 8.0962 and 7.0563 Å and the angles 90.00°, 90.00° and 120.00°. Symmetry generates all atoms from La at (0.0000, 0.2539, 0.2500), La at (0.3333, 0.6667, 0.0000) and Co at (0.0000, 0.3766, 0.7500).

As for the distance to the lowest polymorph of the same formula: 47 meV/atom. The calculation puts the formation energy at -0.066 eV/atom. The magnetization is 0.00 μB/cell. Its density of states at the Fermi level is 16.118 states/eV/cell.

## TbAg2Pd2 (PBE)

Data for TbAg2Pd2 after structural relaxation.

The structure belongs to space group C2/m (No. 12); the cell edges are 9.106, 4.177 and 6.507 Å and the angles 90.00°, 131.02° and 90.00°. Symmetry generates all atoms from Tb at (0.000, 0.000, 0.000), Ag at (0.193, 0.000, 0.599) and Pd at (0.094, 0.500, 0.791).

The calculation puts the formation energy at -0.453 eV/atom. The magnetization is 0.00 μB/cell. Its density of states at the Fermi level is 4.937 states/eV/cell.

## HfNiP (PBE)

Data for HfNiP after structural relaxation.

The structure belongs to space group Pnma (No. 62); the cell edges are 9.304, 3.669 and 5.629 Å and the angles 90.00°, 90.00° and 90.00°. Symmetry generates all atoms from Hf at (0.069, 0.250, 0.250), Ni at (0.156, 0.250, 0.749) and P at (0.183, 0.750, 0.968).

The calculation puts the formation energy at -0.823 eV/atom. The magnetization is 0.00 μB/cell. Its density of states at the Fermi level is 7.481 states/eV/cell.

## MnBe2Co2 (PBE)

Data for MnBe2Co2 after structural relaxation.

The structure belongs to space group P4/mbm (No. 127); the cell edges are 6.025, 6.025 and 2.659 Å and the angles 90.00°, 90.00° and 90.00°. Symmetry generates all atoms from Mn at (0.000, 0.000, 0.000), Be at (0.125, 0.375, 0.000) and Co at (0.170, 0.670, 0.500).

As for the distance to the lowest polymorph of the same formula: 0 meV/atom. The calculation puts the formation energy at -0.187 eV/atom. The magnetization is 8.84 μB/cell. Its density of states at the Fermi level is 5.435 states/eV/cell.

## LaTi2Mn (PBE)

Data for LaTi2Mn after structural relaxation.

The structure belongs to space group Fm-3m (No. 225); the cell edges are 6.561, 6.561 and 6.561 Å and the angles 90.00°, 90.00° and 90.00°. Symmetry generates all atoms from La at (0.000, 0.000, 0.000), Ti at (0.250, 0.250, 0.250) and Mn at (0.000, 0.000, 0.500).

As for the distance to the lowest polymorph of the same formula: 0 meV/atom. The calculation puts the formation energy at 0.431 eV/atom. The magnetization is 0.00 μB/cell. Its density of states at the Fermi level is 31.953 states/eV/cell.

## Pr3HfSb5 (PBE)

Data for Pr3HfSb5 after structural relaxation.

The structure belongs to space group P6_3/mcm (No. 193); the cell edges are 9.6262, 9.6262 and 6.2866 Å and the angles 90.00°, 90.00° and 120.00°. Symmetry generates all atoms from Pr at (0.0000, 0.3808, 0.2500), Hf at (0.0000, 0.0000, 0.0000), Sb at (0.0000, 0.2614, 0.7500) and Sb at (0.3333, 0.6667, 0.0000).

For the formation energy from raw total energies, the calculation gives -0.934 eV per atom. The magnetization is 0.00 μB/cell. Its density of states at the Fermi level is 5.318 states/eV/cell.

## Li2ZnTeH (PBE)

Data for Li2ZnTeH after structural relaxation.

The structure belongs to space group P4/mmm (No. 123); the cell edges are 4.342, 4.342 and 4.116 Å and the angles 90.00°, 90.00° and 90.00°. Symmetry generates all atoms from Li at (0.000, 0.500, 0.000), Zn at (0.000, 0.000, 0.500), Te at (0.500, 0.500, 0.500) and H at (0.000, 0.000, 0.000).

As for the distance to the lowest polymorph of the same formula: 0 meV/atom. The magnetization is 0.00 μB/cell. Its density of states at the Fermi level is 1.787 states/eV/cell.

## CsB3Pt (PBE)

Data for CsB3Pt after structural relaxation.

The structure belongs to space group Pm-3m (No. 221); the cell edges are 4.445, 4.445 and 4.445 Å and the angles 90.00°, 90.00° and 90.00°. Symmetry generates all atoms from Cs at (0.000, 0.000, 0.000), B at (0.000, 0.000, 0.500) and Pt at (0.500, 0.500, 0.500).

As for the distance to the lowest polymorph of the same formula: 2411 meV/atom. The calculation puts the formation energy at 3.594 eV/atom. The magnetization is 0.00 μB/cell. Its density of states at the Fermi level is 2.946 states/eV/cell.

## Cd2SiOs (PBE)

Data for Cd2SiOs after structural relaxation.

The structure belongs to space group C2/m (No. 12); the cell edges are 14.554, 2.812 and 3.956 Å and the angles 90.00°, 105.68° and 90.00°. Symmetry generates all atoms from Cd at (0.182, 0.000, 0.181), Si at (0.000, 0.000, 0.500) and Os at (0.000, 0.500, 0.000).

For the formation energy from raw total energies, the calculation gives 0.035 eV per atom. The magnetization is 0.58 μB/cell. Its density of states at the Fermi level is 3.263 states/eV/cell.

## AlAs2Os (PBE)

Data for AlAs2Os after structural relaxation.

The structure belongs to space group R-3m (No. 166, hexagonal axes); the cell edges are 3.0296, 3.0296 and 26.4553 Å and the angles 90.00°, 90.00° and 120.00°. Symmetry generates all atoms from Al at (0.0000, 0.0000, 0.0000), As at (0.0000, 0.0000, 0.2379) and Os at (0.0000, 0.0000, 0.5000).

The calculation puts the formation energy at 0.212 eV/atom. The magnetization is 0.00 μB/cell. Its density of states at the Fermi level is 6.494 states/eV/cell.

## K3AsBr (PBE)

Data for K3AsBr after structural relaxation.

The structure belongs to space group Pm-3m (No. 221); the cell edges are 6.282, 6.282 and 6.282 Å and the angles 90.00°, 90.00° and 90.00°. Symmetry generates all atoms from K at (0.000, 0.000, 0.500), As at (0.000, 0.000, 0.000) and Br at (0.500, 0.500, 0.500).

For the formation energy from raw total energies, the calculation gives -0.619 eV per atom. As for the distance to the lowest polymorph of the same formula: 0 meV/atom. The magnetization is 1.00 μB/cell. Its density of states at the Fermi level is 3.528 states/eV/cell.

## Ba2CaY (PBE)

Data for Ba2CaY after structural relaxation.

The structure belongs to space group I-42d (No. 122); the cell edges are 9.960, 9.960 and 7.469 Å and the angles 90.00°, 90.00° and 90.00°. Symmetry generates all atoms from Ba at (0.244, 0.250, 0.125), Ca at (0.000, 0.000, 0.500) and Y at (0.000, 0.000, 0.000).

As for the distance to the lowest polymorph of the same formula: 286 meV/atom. The calculation puts the formation energy at 0.419 eV/atom. The magnetization is 0.00 μB/cell. Its density of states at the Fermi level is 21.612 states/eV/cell.

## Rb3NaNi2H8 (PBE)

Data for Rb3NaNi2H8 after structural relaxation.

The structure belongs to space group P-3m1 (No. 164); the cell edges are 5.9133, 5.9133 and 7.8844 Å and the angles 90.00°, 90.00° and 120.00°. Symmetry generates all atoms from Rb at (0.0000, 0.0000, 0.0000), Rb at (0.3333, 0.6667, 0.6998), Na at (0.0000, 0.0000, 0.5000), Ni at (0.3333, 0.6667, 0.2597), H at (0.1825, 0.3651, 0.3188) and H at (0.3333, 0.6667, 0.0609).

For the calculated total energy, the calculation gives -42.1 eV/f.u. The magnetization is 4.01 μB/cell. Its density of states at the Fermi level is 4.472 states/eV/cell.

## Ba2Ca4N (PBE)

Data for Ba2Ca4N after structural relaxation.

The structure belongs to space group I4/mmm (No. 139); the cell edges are 4.995, 4.995 and 22.993 Å and the angles 90.00°, 90.00° and 90.00°. Symmetry generates all atoms from Ba at (0.000, 0.000, 0.193), Ca at (0.000, 0.000, 0.396), Ca at (0.000, 0.500, 0.000) and N at (0.000, 0.000, 0.500).

For the formation energy from raw total energies, the calculation gives -0.240 eV per atom. The magnetization is 0.00 μB/cell. Its density of states at the Fermi level is 17.351 states/eV/cell.

## Pa2Be4ZnSi3 (PBE)

Data for Pa2Be4ZnSi3 after structural relaxation.

The structure belongs to space group P-4m2 (No. 115); the cell edges are 3.909, 3.909 and 9.456 Å and the angles 90.00°, 90.00° and 90.00°. Symmetry generates all atoms from Pa at (0.000, 0.500, 0.245), Be at (0.000, 0.000, 0.000), Be at (0.000, 0.500, 0.634), Be at (0.500, 0.500, 0.000), Zn at (0.000, 0.000, 0.500), Si at (0.000, 0.500, 0.870) and Si at (0.500, 0.500, 0.500).

For the formation energy from raw total energies, the calculation gives -0.274 eV per atom. The magnetization is 0.00 μB/cell. Its density of states at the Fermi level is 8.247 states/eV/cell.

## TePd5Pt2 (PBE)

Data for TePd5Pt2 after structural relaxation.

The structure belongs to space group I4/mcm (No. 140); the cell edges are 6.911, 6.911 and 11.300 Å and the angles 90.00°, 90.00° and 90.00°. Symmetry generates all atoms from Te at (0.000, 0.000, 0.250), Pd at (0.000, 0.000, 0.000), Pd at (0.151, 0.349, 0.162) and Pt at (0.141, 0.359, 0.500).

For the formation energy from raw total energies, the calculation gives -0.010 eV per atom. The magnetization is 0.00 μB/cell. Its density of states at the Fermi level is 34.815 states/eV/cell.

## YFeBRh2 (PBE)

Data for YFeBRh2 after structural relaxation.

The structure belongs to space group P4/mmm (No. 123); the cell edges are 4.205, 4.205 and 4.075 Å and the angles 90.00°, 90.00° and 90.00°. Symmetry generates all atoms from Y at (0.000, 0.000, 0.000), Fe at (0.500, 0.500, 0.000), B at (0.500, 0.500, 0.500) and Rh at (0.000, 0.500, 0.500).

The calculation puts the formation energy at -0.532 eV/atom. The magnetization is 1.96 μB/cell. Its density of states at the Fermi level is 3.722 states/eV/cell.

## ErTmBi (PBE)

Data for ErTmBi after structural relaxation.

The structure belongs to space group Pmc2_1 (No. 26); the cell edges are 3.913, 10.902 and 8.458 Å and the angles 90.00°, 90.00° and 90.00°. Symmetry generates all atoms from Er at (0.000, 0.149, 0.000), Er at (0.000, 0.316, 0.667), Tm at (0.500, 0.057, 0.682), Tm at (0.500, 0.373, 0.308), Bi at (0.000, 0.139, 0.377) and Bi at (0.000, 0.434, 0.003).

The calculation puts the formation energy at -0.373 eV/atom. The magnetization is 0.00 μB/cell. Its density of states at the Fermi level is 11.505 states/eV/cell.

## Sr2TaTc (PBE)

Data for Sr2TaTc after structural relaxation.

The structure belongs to space group I4/mmm (No. 139); the cell edges are 4.122, 4.122 and 10.955 Å and the angles 90.00°, 90.00° and 90.00°. Symmetry generates all atoms from Sr at (0.000, 0.500, 0.250), Ta at (0.000, 0.000, 0.000) and Tc at (0.000, 0.000, 0.500).

As for the distance to the lowest polymorph of the same formula: 702 meV/atom. The calculation puts the formation energy at 1.032 eV/atom. The magnetization is 0.00 μB/cell. Its density of states at the Fermi level is 6.527 states/eV/cell.